A plane-wave DFT calculation with PBE-GGA was carried out for a geometry-optimized Cs2InTe2 structure.

## Properties
The calculated volume is 48.77 Å³ per atom. The value obtained for the formation energy (no corrections) is -80.3 kJ/mol of atoms. For the energy, the calculation gives -2.9780 eV per atom. Its relative energy among the computed polymorphs is 0.0 meV per atom.

Cell: 9.245 9.775 11.367 Å, 90.00 108.29 90.00°
Fractional positions:
Cs  0.530  0.264  0.069
Cs  0.030  0.236  0.069
Cs  0.970  0.764  0.931
Cs  0.470  0.736  0.931
Cs  0.931  0.600  0.320
Cs  0.431  0.900  0.320
Cs  0.569  0.100  0.680
Cs  0.069  0.400  0.680
In  0.414  0.428  0.387
In  0.586  0.572  0.613
In  0.914  0.072  0.387
In  0.086  0.928  0.613
Te  0.791  0.947  0.152
Te  0.291  0.553  0.152
Te  0.709  0.447  0.848
Te  0.209  0.053  0.848
Te  0.715  0.283  0.423
Te  0.215  0.217  0.423
Te  0.785  0.783  0.577
Te  0.285  0.717  0.577